Entry 1:
{
  "formula": "BaPu4",
  "functional": "GGA-PBE",
  "state": "relaxed",
  "delta_e_f_ev_per_fu": 7.249,
  "crystal_system": "cubic",
  "m_tot_mub_per_fu": 11.6,
  "lattice_angstrom": [[5.737, 0.000, 0.000], [0.000, 5.737, 0.000], [0.000, 0.000, 5.737]],
  "species": ["Ba", "Pu", "Pu", "Pu", "Pu"],
  "fractional_positions": [[0.500, 0.500, 0.500], [0.000, 0.000, 0.000], [0.500, 0.000, 0.500], [0.000, 0.500, 0.500], [0.500, 0.500, 0.000]]
}


Entry 2:
{
  "formula": "YCuAsSe2",
  "functional": "GGA-PBE",
  "state": "relaxed",
  "crystal_system": "tetragonal",
  "e_above_lowest_polymorph_ev_per_atom": 0.000,
  "formation_energy_uncorrected_ev_per_fu": -1.66,
  "m_tot_mub_per_fu": 0.0,
  "lattice_angstrom": [[-1.865, 3.933, 2.184], [-2.654, -2.737, 2.662], [3.537, -0.179, 3.342]],
  "species": ["Y", "As", "Cu", "Se", "Se"],
  "fractional_positions": [[0.500, 0.500, 0.500], [0.000, 0.500, 0.000], [0.000, 0.000, 0.000], [0.000, 0.000, 0.500], [0.500, 0.000, 0.000]]
}


Entry 3:
{
  "formula": "Mg2NbCoRh",
  "functional": "GGA-PBE",
  "state": "relaxed",
  "delta_e_f_ev_per_fu": 7.270,
  "crystal_system": "tetragonal",
  "m_tot_mub_per_fu": 1.6,
  "lattice_angstrom": [[-1.635, 0.633, -4.855], [-1.294, -4.003, -0.086], [-4.631, 1.459, 1.750]],
  "species": ["Co", "Nb", "Rh", "Mg", "Mg"],
  "fractional_positions": [[0.000, 0.500, 0.000], [0.000, 0.000, 0.000], [0.500, 0.500, 0.500], [0.000, 0.000, 0.500], [0.500, 0.000, 0.000]]
}


Entry 4:
{
  "formula": "CeCoSi3",
  "functional": "GGA-PBE",
  "state": "relaxed",
  "crystal_system": "tetragonal",
  "formation_energy_uncorrected_ev_per_fu": -3.53,
  "m_tot_mub_per_fu": 0.0,
  "lattice_angstrom": [[4.112, 0.000, 0.000], [0.000, 4.112, 0.000], [-2.057, -2.057, 4.747]],
  "species": ["Si", "Si", "Si", "Co", "Ce"],
  "fractional_positions": [[0.838, 0.338, 0.676], [0.338, 0.838, 0.676], [0.002, 0.002, 0.005], [0.239, 0.239, 0.478], [0.578, 0.578, 0.155]]
}


Entry 5:
{
  "formula": "Mn2NiRu",
  "functional": "GGA-PBE",
  "state": "relaxed",
  "delta_e_f_ev_per_fu": 0.396,
  "crystal_system": "orthorhombic",
  "m_tot_mub_per_fu": 2.8,
  "lattice_angstrom": [[4.414, -0.001, 0.000], [-1.438, 4.173, 0.000], [0.000, 0.000, 2.602]],
  "species": ["Mn", "Mn", "Ni", "Ru"],
  "fractional_positions": [[0.000, 0.000, 0.000], [0.500, 0.500, 0.000], [0.500, 0.000, 0.500], [0.000, 0.500, 0.500]]
}


Entry 6:
{
  "formula": "LiPrTe",
  "functional": "GGA-PBE",
  "state": "relaxed",
  "crystal_system": "tetragonal",
  "e_above_lowest_polymorph_ev_per_atom": 0.360,
  "formation_energy_uncorrected_ev_per_fu": -2.00,
  "m_tot_mub_per_fu": 0.0,
  "lattice_angstrom": [[-3.259, -2.297, 1.417], [2.507, -1.755, 2.922], [-0.700, 5.356, 0.754]],
  "species": ["Pr", "Te", "Li"],
  "fractional_positions": [[0.950, 0.950, 0.899], [0.300, 0.300, 0.600], [0.600, 0.600, 0.200]]
}


Entry 7:
{
  "formula": "CoRu2Au",
  "functional": "GGA-PBE",
  "state": "relaxed",
  "delta_e_f_ev_per_fu": 1.639,
  "crystal_system": "tetragonal",
  "e_above_lowest_polymorph_ev_per_atom": 0.161,
  "m_tot_mub_per_fu": 2.4,
  "lattice_angstrom": [[-1.284, 2.942, -2.043], [1.599, -1.472, -3.125], [-3.301, -1.969, -0.761]],
  "species": ["Au", "Co", "Ru", "Ru"],
  "fractional_positions": [[0.500, 0.000, 0.500], [0.000, 0.500, 0.500], [0.000, 0.000, 0.000], [0.500, 0.500, 0.000]]
}


Entry 8:
{
  "formula": "NaSi3Au",
  "functional": "GGA-PBE",
  "state": "relaxed",
  "crystal_system": "cubic",
  "e_above_lowest_polymorph_ev_per_atom": 0.000,
  "formation_energy_uncorrected_ev_per_fu": 3.98,
  "m_tot_mub_per_fu": 0.0,
  "lattice_angstrom": [[-1.873, 4.293, -1.700], [1.661, -1.086, -4.571], [-4.309, -2.285, -1.023]],
  "species": ["Na", "Si", "Si", "Si", "Au"],
  "fractional_positions": [[0.500, 0.500, 0.500], [0.000, 0.500, 0.000], [0.000, 0.000, 0.500], [0.500, 0.000, 0.000], [0.000, 0.000, 0.000]]
}


Entry 9:
{
  "formula": "Tl2BiAu",
  "functional": "GGA-PBE",
  "state": "relaxed",
  "delta_e_f_ev_per_fu": -0.041,
  "crystal_system": "monoclinic",
  "e_above_lowest_polymorph_ev_per_atom": 0.000,
  "m_tot_mub_per_fu": 0.0,
  "lattice_angstrom": [[-2.560, 1.247, -3.895], [1.827, -0.654, -4.399], [-2.756, -5.476, -2.931]],
  "species": ["Tl", "Tl", "Bi", "Au"],
  "fractional_positions": [[0.910, 0.671, 0.509], [0.683, 0.446, 0.188], [0.456, 0.220, 0.869], [0.161, 0.926, 0.752]]
}


Entry 10:
{
  "formula": "NiHgAu",
  "functional": "GGA-PBE",
  "state": "relaxed",
  "delta_e_f_ev_per_fu": 0.419,
  "crystal_system": "tetragonal",
  "e_above_lowest_polymorph_ev_per_atom": 0.005,
  "m_tot_mub_per_fu": 0.0,
  "lattice_angstrom": [[-1.659, 4.878, 2.870], [-5.051, 2.591, 1.598], [3.384, -4.815, -0.385]],
  "species": ["Au", "Hg", "Ni"],
  "fractional_positions": [[0.017, 0.017, 0.000], [0.319, 0.319, 0.000], [0.664, 0.664, 0.000]]
}


Entry 11:
{
  "formula": "ScTiIr2",
  "functional": "GGA-PBE",
  "state": "relaxed",
  "delta_e_f_ev_per_fu": -3.543,
  "crystal_system": "tetragonal",
  "m_tot_mub_per_fu": 0.0,
  "lattice_angstrom": [[-1.753, 0.074, 2.474], [-3.524, -1.626, -2.449], [1.267, -4.290, 1.026]],
  "species": ["Sc", "Ir", "Ir", "Ti"],
  "fractional_positions": [[0.500, 0.500, 0.500], [0.000, 0.000, 0.500], [0.000, 0.500, 0.000], [0.500, 0.000, 0.000]]
}


Entry 12:
{
  "formula": "AlCr2Sb",
  "functional": "GGA-PBE",
  "state": "relaxed",
  "crystal_system": "monoclinic",
  "e_above_lowest_polymorph_ev_per_atom": 0.093,
  "formation_energy_uncorrected_ev_per_fu": 0.95,
  "m_tot_mub_per_fu": 0.1,
  "lattice_angstrom": [[4.869, 0.008, -0.054], [3.880, 2.941, -0.054], [1.478, 0.498, 4.365]],
  "species": ["Sb", "Al", "Cr", "Cr"],
  "fractional_positions": [[0.488, 0.488, 0.533], [0.265, 0.265, 0.201], [0.017, 0.017, 0.021], [0.730, 0.730, 0.746]]
}


Entry 13:
{
  "formula": "WC2",
  "functional": "GGA-PBE",
  "state": "relaxed",
  "delta_e_f_ev_per_fu": 1.862,
  "crystal_system": "monoclinic",
  "e_above_lowest_polymorph_ev_per_atom": 0.105,
  "m_tot_mub_per_fu": 0.0,
  "lattice_angstrom": [[-2.440, 1.501, -0.771], [0.011, -2.955, -0.079], [-2.092, -1.567, 3.569]],
  "species": ["C", "C", "W"],
  "fractional_positions": [[0.557, 0.114, 0.332], [0.443, 0.886, 0.668], [0.000, 0.000, 0.000]]
}


Entry 14:
{
  "formula": "LaHg3Au2",
  "functional": "GGA-PBE",
  "state": "relaxed",
  "delta_e_f_ev_per_fu": -2.212,
  "crystal_system": "monoclinic",
  "m_tot_mub_per_fu": 0.0,
  "lattice_angstrom": [[-2.181, -1.494, -3.611], [-4.342, -4.275, 7.163], [-2.549, 7.405, -1.523]],
  "species": ["La", "La", "Hg", "Hg", "Hg", "Hg", "Hg", "Hg", "Au", "Au", "Au", "Au"],
  "fractional_positions": [[0.882, 0.763, 0.955], [0.118, 0.237, 0.045], [0.307, 0.614, 0.585], [0.930, 0.860, 0.560], [0.623, 0.247, 0.725], [0.377, 0.753, 0.275], [0.070, 0.140, 0.440], [0.693, 0.386, 0.415], [0.485, 0.970, 0.814], [0.515, 0.030, 0.186], [0.756, 0.512, 0.137], [0.244, 0.488, 0.863]]
}


Entry 15:
{
  "formula": "Sn2PdPt2",
  "functional": "GGA-PBE",
  "state": "relaxed",
  "delta_e_f_ev_per_fu": -0.926,
  "crystal_system": "tetragonal",
  "e_above_lowest_polymorph_ev_per_atom": 0.216,
  "m_tot_mub_per_fu": 0.0,
  "lattice_angstrom": [[3.862, 0.000, 0.000], [0.000, 3.862, 0.000], [1.931, 1.931, 6.781]],
  "species": ["Pd", "Sn", "Sn", "Pt", "Pt"],
  "fractional_positions": [[0.000, 0.000, 0.000], [0.393, 0.393, 0.215], [0.607, 0.607, 0.785], [0.750, 0.250, 0.500], [0.250, 0.750, 0.500]]
}


Entry 16:
{
  "formula": "CsPH",
  "functional": "GGA-PBE",
  "state": "relaxed",
  "crystal_system": "triclinic",
  "e_above_lowest_polymorph_ev_per_atom": 0.000,
  "m_tot_mub_per_fu": 0.0,
  "lattice_angstrom": [[-3.015, 0.004, 4.652], [-4.425, -4.769, -0.012], [2.937, -2.886, 5.142]],
  "species": ["Cs", "Cs", "P", "P", "H", "H"],
  "fractional_positions": [[0.191, 0.668, 0.531], [0.227, 0.127, 0.039], [0.870, 0.731, 0.152], [0.580, 0.028, 0.411], [0.595, 0.209, 0.280], [0.686, 0.694, 0.061]]
}


Entry 17:
{
  "formula": "CeCdGa2",
  "functional": "GGA-PBE",
  "state": "relaxed",
  "delta_e_f_ev_per_fu": -1.442,
  "crystal_system": "tetragonal",
  "e_above_lowest_polymorph_ev_per_atom": 0.000,
  "m_tot_mub_per_fu": 0.6,
  "lattice_angstrom": [[-3.722, -1.767, 1.060], [2.206, -3.586, 1.766], [0.160, 2.095, 4.054]],
  "species": ["Ga", "Ga", "Ce", "Cd"],
  "fractional_positions": [[0.000, 0.000, 0.500], [0.000, 0.500, 0.000], [0.500, 0.500, 0.500], [0.500, 0.000, 0.000]]
}


Entry 18:
{
  "formula": "RbYPb",
  "functional": "GGA-PBE",
  "state": "relaxed",
  "delta_e_f_ev_per_fu": 2.592,
  "crystal_system": "hexagonal",
  "e_above_lowest_polymorph_ev_per_atom": 1.150,
  "m_tot_mub_per_fu": 0.0,
  "lattice_angstrom": [[-4.443, -5.065, -2.031], [1.687, 0.683, 6.797], [-8.914, 7.221, 1.487]],
  "species": ["Pb", "Pb", "Y", "Y", "Rb", "Rb"],
  "fractional_positions": [[0.000, 0.000, 0.000], [0.000, 0.000, 0.500], [0.000, 0.000, 0.250], [0.000, 0.000, 0.750], [0.333, 0.667, 0.250], [0.667, 0.333, 0.750]]
}


Entry 19:
{
  "formula": "ErZnInAg",
  "functional": "GGA-PBE",
  "state": "relaxed",
  "delta_e_f_ev_per_fu": -1.238,
  "crystal_system": "cubic",
  "m_tot_mub_per_fu": 0.0,
  "lattice_angstrom": [[4.876, 0.000, 0.000], [2.438, 4.223, 0.000], [2.438, 1.408, 3.981]],
  "species": ["Zn", "In", "Ag", "Er"],
  "fractional_positions": [[0.750, 0.750, 0.750], [0.500, 0.500, 0.500], [0.250, 0.250, 0.250], [0.000, 0.000, 0.000]]
}


Entry 20:
{
  "formula": "MnCdRu",
  "functional": "GGA-PBE",
  "state": "relaxed",
  "delta_e_f_ev_per_fu": 2.001,
  "crystal_system": "cubic",
  "e_above_lowest_polymorph_ev_per_atom": 0.480,
  "m_tot_mub_per_fu": 2.9,
  "lattice_angstrom": [[-0.166, 0.611, -4.177], [-0.052, -3.314, -2.620], [-3.519, -0.949, -2.136]],
  "species": ["Cd", "Mn", "Ru"],
  "fractional_positions": [[0.500, 0.500, 0.500], [0.750, 0.750, 0.750], [0.000, 0.000, 0.000]]
}


Entry 21:
{
  "formula": "Na2PrAgI6",
  "functional": "GGA-PBE",
  "state": "relaxed",
  "crystal_system": "triclinic",
  "formation_energy_uncorrected_ev_per_fu": -11.02,
  "m_tot_mub_per_fu": 0.0,
  "lattice_angstrom": [[7.986, 0.002, -0.008], [3.994, 6.917, 0.002], [4.012, 2.294, 7.623]],
  "species": ["Na", "Na", "Pr", "Ag", "I", "I", "I", "I", "I", "I"],
  "fractional_positions": [[0.523, 0.524, 0.429], [0.009, 0.009, 0.972], [0.329, 0.329, 0.014], [0.748, 0.749, 0.754], [0.599, 0.247, 0.218], [0.248, 0.935, 0.217], [0.935, 0.599, 0.218], [0.420, 0.733, 0.731], [0.734, 0.117, 0.731], [0.116, 0.420, 0.732]]
}


Entry 22:
{
  "formula": "Tb2SmDy6Er",
  "functional": "GGA-PBE",
  "state": "relaxed",
  "delta_e_f_ev_per_fu": 1.186,
  "crystal_system": "monoclinic",
  "m_tot_mub_per_fu": 0.0,
  "lattice_angstrom": [[0.220, 8.221, -4.863], [-0.512, -4.952, -7.211], [-7.455, 1.964, 4.166]],
  "species": ["Tb", "Tb", "Tb", "Tb", "Sm", "Sm", "Dy", "Dy", "Dy", "Dy", "Dy", "Dy", "Dy", "Dy", "Dy", "Dy", "Dy", "Dy", "Er", "Er"],
  "fractional_positions": [[0.455, 0.802, 0.698], [0.045, 0.302, 0.198], [0.545, 0.198, 0.302], [0.955, 0.698, 0.802], [0.250, 0.977, 0.023], [0.750, 0.023, 0.977], [0.057, 0.124, 0.749], [0.443, 0.251, 0.876], [0.943, 0.876, 0.251], [0.557, 0.749, 0.124], [0.315, 0.982, 0.431], [0.185, 0.569, 0.018], [0.685, 0.018, 0.569], [0.815, 0.431, 0.982], [0.119, 0.708, 0.494], [0.381, 0.506, 0.292], [0.881, 0.292, 0.506], [0.619, 0.494, 0.708], [0.250, 0.409, 0.591], [0.750, 0.591, 0.409]]
}


Entry 23:
{
  "formula": "RbLaAgHg",
  "functional": "GGA-PBE",
  "state": "relaxed",
  "delta_e_f_ev_per_fu": 0.014,
  "crystal_system": "monoclinic",
  "e_above_lowest_polymorph_ev_per_atom": 0.189,
  "m_tot_mub_per_fu": 0.0,
  "lattice_angstrom": [[5.895, 0.000, 0.006], [0.000, 3.578, 0.000], [-3.453, 0.000, 11.914]],
  "species": ["Rb", "Rb", "La", "La", "Ag", "Ag", "Hg", "Hg"],
  "fractional_positions": [[0.994, 0.000, 0.185], [0.994, 0.500, 0.685], [0.378, 0.000, 0.988], [0.378, 0.500, 0.488], [0.818, 0.000, 0.424], [0.818, 0.500, 0.924], [0.523, 0.000, 0.734], [0.523, 0.500, 0.234]]
}


Entry 24:
{
  "formula": "NbCd2Tc",
  "functional": "GGA-PBE",
  "state": "relaxed",
  "delta_e_f_ev_per_fu": 3.370,
  "crystal_system": "tetragonal",
  "e_above_lowest_polymorph_ev_per_atom": 0.273,
  "m_tot_mub_per_fu": 1.0,
  "lattice_angstrom": [[-1.285, 7.109, -2.784], [-4.649, -2.968, -5.433], [-5.053, 2.336, -2.469]],
  "species": ["Nb", "Nb", "Tc", "Tc", "Cd", "Cd", "Cd", "Cd"],
  "fractional_positions": [[0.500, 0.500, 0.000], [0.250, 0.750, 0.500], [0.000, 0.000, 0.000], [0.750, 0.250, 0.500], [0.639, 0.125, 0.250], [0.111, 0.625, 0.250], [0.375, 0.361, 0.750], [0.875, 0.889, 0.750]]
}


Entry 25:
{
  "formula": "BaHN2",
  "functional": "GGA-PBE",
  "state": "relaxed",
  "crystal_system": "cubic",
  "e_above_lowest_polymorph_ev_per_atom": 0.842,
  "m_tot_mub_per_fu": 3.0,
  "lattice_angstrom": [[0.000, 3.192, 3.192], [3.192, 0.000, 3.192], [3.192, 3.192, 0.000]],
  "species": ["H", "Ba", "N", "N"],
  "fractional_positions": [[0.000, 0.000, 0.000], [0.500, 0.500, 0.500], [0.250, 0.250, 0.250], [0.750, 0.750, 0.750]]
}


Entry 26:
{
  "formula": "TbHoScCd",
  "functional": "GGA-PBE",
  "state": "relaxed",
  "delta_e_f_ev_per_fu": -0.508,
  "crystal_system": "tetragonal",
  "e_above_lowest_polymorph_ev_per_atom": 0.000,
  "m_tot_mub_per_fu": 0.0,
  "lattice_angstrom": [[-1.379, 0.216, 3.238], [2.039, -2.679, 1.047], [6.284, 5.679, 2.296]],
  "species": ["Tb", "Ho", "Sc", "Cd"],
  "fractional_positions": [[0.500, 0.500, 0.814], [0.500, 0.500, 0.329], [0.000, 0.000, 0.073], [0.000, 0.000, 0.569]]
}


Entry 27:
{
  "formula": "TlGa2Te2",
  "functional": "GGA-PBE",
  "state": "relaxed",
  "crystal_system": "tetragonal",
  "e_above_lowest_polymorph_ev_per_atom": 0.000,
  "formation_energy_uncorrected_ev_per_fu": -0.97,
  "m_tot_mub_per_fu": 0.0,
  "lattice_angstrom": [[5.557, 0.000, 0.000], [0.000, 5.557, 0.000], [2.779, 2.779, 4.600]],
  "species": ["Tl", "Te", "Te", "Ga", "Ga"],
  "fractional_positions": [[0.000, 0.000, 0.000], [0.750, 0.250, 0.500], [0.250, 0.750, 0.500], [0.357, 0.357, 0.287], [0.643, 0.643, 0.713]]
}


Entry 28:
{
  "formula": "TaTePb3",
  "functional": "GGA-PBE",
  "state": "relaxed",
  "crystal_system": "cubic",
  "e_above_lowest_polymorph_ev_per_atom": 0.000,
  "formation_energy_uncorrected_ev_per_fu": 2.79,
  "m_tot_mub_per_fu": 1.6,
  "lattice_angstrom": [[5.557, 0.000, 0.000], [0.000, 5.557, 0.000], [0.000, 0.000, 5.557]],
  "species": ["Pb", "Pb", "Pb", "Te", "Ta"],
  "fractional_positions": [[0.000, 0.500, 0.000], [0.000, 0.000, 0.500], [0.500, 0.000, 0.000], [0.500, 0.500, 0.500], [0.000, 0.000, 0.000]]
}